*one*
The following is a PBE calculation of a geometry-optimized Pm12NdDy7 structure, from Alexandria.

```
data_Pm12NdDy7
_chemical_formula_sum 'Pm36 Nd3 Dy21'
_space_group_name_H-M_alt 'R -3'
_space_group_IT_number 148
_space_group_name_Hall '-R 3'
_cell_length_a 15.2191
_cell_length_b 15.2191
_cell_length_c 10.1423
_cell_angle_alpha 90.00
_cell_angle_beta 90.00
_cell_angle_gamma 120.00
loop_
_atom_site_label
_atom_site_fract_x
_atom_site_fract_y
_atom_site_fract_z
Pm1 0.0455 0.2017 0.2515
Pm2 0.0472 0.2472 0.5767
Nd1 0.0000 0.0000 0.0000
Dy1 0.0000 0.0000 0.5000
Dy2 0.0659 0.2459 0.9251
```

=====

*two*
The following is a PBE calculation of a geometry-optimized Pm12NdDy7 structure, from Alexandria.

```
data_Pm12NdDy7
_chemical_formula_sum 'Pm24 Nd2 Dy14'
_space_group_name_H-M_alt 'I m -3'
_space_group_IT_number 204
_space_group_name_Hall '-I 2 2 3'
_cell_length_a 11.524
_cell_length_b 11.524
_cell_length_c 11.524
_cell_angle_alpha 90.00
_cell_angle_beta 90.00
_cell_angle_gamma 90.00
loop_
_atom_site_label
_atom_site_fract_x
_atom_site_fract_y
_atom_site_fract_z
Pm1 0.000 0.252 0.253
Nd1 0.000 0.000 0.000
Dy1 0.000 0.000 0.500
Dy2 0.250 0.250 0.250
```

=====

*one* ends up most stable, edging out the next structure by 509 meV per atom.

=====

*one*
The following is a PBE calculation of a geometry-optimized Pm2Nd3Dy structure, from Alexandria.

```
data_Pm2Nd3Dy
_chemical_formula_sum 'Pm4 Nd6 Dy2'
_space_group_name_H-M_alt 'P 1 21/m 1'
_space_group_IT_number 11
_space_group_name_Hall '-P 2yb'
_cell_length_a 8.571
_cell_length_b 3.737
_cell_length_c 13.001
_cell_angle_alpha 90.00
_cell_angle_beta 90.01
_cell_angle_gamma 90.00
loop_
_atom_site_label
_atom_site_fract_x
_atom_site_fract_y
_atom_site_fract_z
Pm1 0.085 0.250 0.109
Pm2 0.350 0.750 0.553
Nd1 0.086 0.250 0.390
Nd2 0.348 0.750 0.945
Nd3 0.395 0.750 0.251
Dy1 0.191 0.250 0.749
```

=====

*two*
The following is a PBE calculation of a geometry-optimized Pm2Nd3Dy structure, from Alexandria.

```
data_Pm2Nd3Dy
_chemical_formula_sum 'Pm8 Nd12 Dy4'
_space_group_name_H-M_alt 'I b a m'
_space_group_IT_number 72
_space_group_name_Hall '-I 2 2c'
_cell_length_a 11.338
_cell_length_b 12.029
_cell_length_c 6.979
_cell_angle_alpha 90.00
_cell_angle_beta 90.00
_cell_angle_gamma 90.00
loop_
_atom_site_label
_atom_site_fract_x
_atom_site_fract_y
_atom_site_fract_z
Pm1 0.245 0.198 0.000
Nd1 0.000 0.000 0.250
Nd2 0.000 0.265 0.250
Dy1 0.000 0.500 0.000
```

=====

*one* ends up most stable, edging out the next structure by 499 meV per atom.

=====

*one*
The following is a PBE calculation of a geometry-optimized Pm2Nd5Dy3 structure, from Alexandria.

```
data_Pm2Nd5Dy3
_chemical_formula_sum 'Pm8 Nd20 Dy12'
_space_group_name_H-M_alt 'I b a m'
_space_group_IT_number 72
_space_group_name_Hall '-I 2 2c'
_cell_length_a 9.481
_cell_length_b 22.127
_cell_length_c 6.894
_cell_angle_alpha 90.00
_cell_angle_beta 90.00
_cell_angle_gamma 90.00
loop_
_atom_site_label
_atom_site_fract_x
_atom_site_fract_y
_atom_site_fract_z
Pm1 0.097 0.121 0.000
Nd1 0.000 0.247 0.250
Nd2 0.000 0.500 0.250
Nd3 0.096 0.373 0.500
Dy1 0.000 0.000 0.250
Dy2 0.247 0.120 0.500
```

=====

*two*
The following is a PBE calculation of a geometry-optimized Pm2Nd5Dy3 structure, from Alexandria.

```
data_Pm2Nd5Dy3
_chemical_formula_sum 'Pm8 Nd20 Dy12'
_space_group_name_H-M_alt 'C 1 2/c 1'
_space_group_IT_number 15
_space_group_name_Hall '-C 2yc'
_cell_length_a 10.922
_cell_length_b 15.114
_cell_length_c 9.980
_cell_angle_alpha 90.00
_cell_angle_beta 122.96
_cell_angle_gamma 90.00
loop_
_atom_site_label
_atom_site_fract_x
_atom_site_fract_y
_atom_site_fract_z
Pm1 0.149 0.123 0.056
Nd1 0.000 0.228 0.250
Nd2 0.000 0.269 0.750
Nd3 0.000 0.473 0.750
Nd4 0.240 0.379 0.234
Dy1 0.000 0.020 0.250
Dy2 0.157 0.377 0.553
```

=====

*two* ends up most stable, edging out the next structure by 181 meV per atom.

=====

*one*
The following is a PBE calculation of a geometry-optimized Pm5Nd2Dy4 structure, from Alexandria.

```
data_Pm5Nd2Dy4
_chemical_formula_sum 'Pm10 Nd4 Dy8'
_space_group_name_H-M_alt 'I m m m'
_space_group_IT_number 71
_space_group_name_Hall '-I 2 2'
_cell_length_a 3.541
_cell_length_b 9.189
_cell_length_c 23.574
_cell_angle_alpha 90.00
_cell_angle_beta 90.00
_cell_angle_gamma 90.00
loop_
_atom_site_label
_atom_site_fract_x
_atom_site_fract_y
_atom_site_fract_z
Pm1 0.000 0.000 0.000
Pm2 0.000 0.302 0.356
Nd1 0.000 0.500 0.232
Dy1 0.000 0.188 0.500
Dy2 0.000 0.500 0.096
```

=====

*two*
The following is a PBE calculation of a geometry-optimized Pm5Nd2Dy4 structure, from Alexandria.

```
data_Pm5Nd2Dy4
_chemical_formula_sum 'Pm10 Nd4 Dy8'
_space_group_name_H-M_alt 'C 1 2/m 1'
_space_group_IT_number 12
_space_group_name_Hall '-C 2y'
_cell_length_a 18.138
_cell_length_b 3.594
_cell_length_c 12.197
_cell_angle_alpha 90.00
_cell_angle_beta 107.43
_cell_angle_gamma 90.00
loop_
_atom_site_label
_atom_site_fract_x
_atom_site_fract_y
_atom_site_fract_z
Pm1 0.000 0.000 0.000
Pm2 0.110 0.500 0.517
Pm3 0.166 0.500 0.013
Nd1 0.179 0.000 0.297
Dy1 0.003 0.500 0.753
Dy2 0.169 0.000 0.768
```

=====

*two* ends up most stable, edging out the next structure by 43 meV per atom.

=====

*one*
The following is a PBE calculation of a geometry-optimized Pm7NdDy2 structure, from Alexandria.

```
data_Pm7NdDy2
_chemical_formula_sum 'Pm14 Nd2 Dy4'
_space_group_name_H-M_alt 'C m m m'
_space_group_IT_number 65
_space_group_name_Hall '-C 2 2'
_cell_length_a 8.906
_cell_length_b 16.198
_cell_length_c 5.721
_cell_angle_alpha 90.00
_cell_angle_beta 90.00
_cell_angle_gamma 90.00
loop_
_atom_site_label
_atom_site_fract_x
_atom_site_fract_y
_atom_site_fract_z
Pm1 0.000 0.000 0.000
Pm2 0.000 0.274 0.500
Pm3 0.179 0.384 0.000
Nd1 0.000 0.500 0.500
Dy1 0.000 0.204 0.000
```

=====

*two*
The following is a PBE calculation of a geometry-optimized Pm7NdDy2 structure, from Alexandria.

```
data_Pm7NdDy2
_chemical_formula_sum 'Pm14 Nd2 Dy4'
_space_group_name_H-M_alt 'C m m m'
_space_group_IT_number 65
_space_group_name_Hall '-C 2 2'
_cell_length_a 12.081
_cell_length_b 16.992
_cell_length_c 3.509
_cell_angle_alpha 90.00
_cell_angle_beta 90.00
_cell_angle_gamma 90.00
loop_
_atom_site_label
_atom_site_fract_x
_atom_site_fract_y
_atom_site_fract_z
Pm1 0.000 0.000 0.000
Pm2 0.000 0.176 0.500
Pm3 0.244 0.131 0.000
Nd1 0.000 0.500 0.500
Dy1 0.000 0.331 0.000
```

=====

*two* ends up most stable, edging out the next structure by 262 meV per atom.

=====

*one*
The following is a PBE calculation of a geometry-optimized PmPrNdDy structure, from Alexandria.

```
data_PmPrNdDy
_chemical_formula_sum 'Pm2 Pr2 Nd2 Dy2'
_space_group_name_H-M_alt 'I -4 m 2'
_space_group_IT_number 119
_space_group_name_Hall 'I -4 -2'
_cell_length_a 5.162
_cell_length_b 5.162
_cell_length_c 10.317
_cell_angle_alpha 90.00
_cell_angle_beta 90.00
_cell_angle_gamma 90.00
loop_
_atom_site_label
_atom_site_fract_x
_atom_site_fract_y
_atom_site_fract_z
Pm1 0.000 0.000 0.000
Pr1 0.000 0.500 0.250
Nd1 0.000 0.000 0.500
Dy1 0.000 0.500 0.750
```

=====

*two*
The following is a PBE calculation of a geometry-optimized PmPrNdDy structure, from Alexandria.

```
data_PmPrNdDy
_chemical_formula_sum 'Pm4 Pr4 Nd4 Dy4'
_space_group_name_H-M_alt 'F -4 3 m'
_space_group_IT_number 216
_space_group_name_Hall 'F -4 2 3'
_cell_length_a 8.195
_cell_length_b 8.195
_cell_length_c 8.195
_cell_angle_alpha 90.00
_cell_angle_beta 90.00
_cell_angle_gamma 90.00
loop_
_atom_site_label
_atom_site_fract_x
_atom_site_fract_y
_atom_site_fract_z
Pm1 0.000 0.000 0.000
Pr1 0.250 0.250 0.250
Nd1 0.250 0.250 0.750
Dy1 0.000 0.000 0.500
```

=====

*one* ends up most stable, edging out the next structure by 111 meV per atom.